An optimized crystal structure of SbRu2Pb, computed with PBE.

Summary:
Crystal system   monoclinic

Unit cell a=8.318 b=3.244 c=5.760 alpha=90.00 beta=102.86 gamma=90.00
Space group C2/m (No. 12)
Asymmetric unit:
Sb 0.000 0.000 0.000
Ru 0.248 0.500 0.223
Pb 0.000 0.500 0.500

An optimized crystal structure of La2Pm3ErSe6, computed with PBE.

Summary:
Crystal system   monoclinic

Unit cell a=18.315 b=4.191 c=8.474 alpha=90.00 beta=103.08 gamma=90.00
Space group C2/m (No. 12)
Asymmetric unit:
La 0.167 0.000 0.335
Pm 0.000 0.500 0.500
Pm 0.170 0.000 0.835
Er 0.000 0.500 0.000
Se 0.003 0.000 0.763
Se 0.161 0.500 0.076
Se 0.165 0.500 0.588

An optimized crystal structure of Cr2SiP, computed with PBE.

Summary:
Offset from the most stable computed form   0.2937 eV/atom
Crystal system   monoclinic

Unit cell a=7.661 b=2.761 c=4.654 alpha=90.00 beta=102.12 gamma=90.00
Space group C2/m (No. 12)
Asymmetric unit:
Cr 0.240 0.000 0.237
Si 0.000 0.000 0.500
P 0.000 0.500 0.000

| no. | uncorrected energy (eV per atom) | formation energy (no corrections) (eV per atom) |
| --- | --- | --- |
| 1 | -6.2516 | 0.344 |
| 2 | -5.9943 | -1.863 |
| 3 | -7.5568 | -0.037 |